{"formula": "HoPaVO6", "functional": "GGA+U", "state": "relaxed", "lattice_angstrom": [[5.3898, 0.0000, 0.0000], [-2.6949, 4.6677, 0.0000], [0.0000, 0.0000, 9.4932]], "species": ["Ho", "Ho", "Pa", "Pa", "V", "V", "O", "O", "O", "O", "O", "O", "O", "O", "O", "O", "O", "O"], "frac_coords": [[0.3333, 0.6667, 0.2500], [0.6667, 0.3333, 0.7500], [0.0000, 0.0000, 0.0000], [0.0000, 0.0000, 0.5000], [0.3333, 0.6667, 0.7500], [0.6667, 0.3333, 0.2500], [0.0398, 0.3552, 0.6322], [0.0398, 0.6845, 0.8678], [0.3155, 0.3552, 0.8678], [0.3155, 0.9602, 0.6322], [0.3552, 0.0398, 0.1322], [0.3552, 0.3155, 0.3678], [0.6448, 0.6845, 0.6322], [0.6448, 0.9602, 0.8678], [0.6845, 0.0398, 0.3678], [0.6845, 0.6448, 0.1322], [0.9602, 0.3155, 0.1322], [0.9602, 0.6448, 0.3678]], "sg": "No. 163", "dft_energy_ev_per_atom": -8.668}